Here is a crystal of Sr2CrFeC relaxed with PBEsol from Alexandria. Energies are from SCAN.

Summary:
Formation energy (eV per atom): 0.961
Crystal system: tetragonal
Space group: P4/mmm

a = 3.7332 Å, b = 5.7916 Å, c = 5.7916 Å
α = 90.00°, β = 90.00°, γ = 90.00°
Last column: magnetic moment on the atom in μB.
Sites, in units of the cell vectors:
Fe 0.5000 0.5000 0.5000  3.10
Sr 0.0000 0.5000 0.0000  0.02
Sr 0.0000 0.0000 0.5000  0.02
C 0.5000 0.0000 0.0000  -0.17
Cr 0.0000 0.0000 0.0000  3.09



Here is a crystal of Cu3SbF relaxed with PBEsol from Alexandria. Energies are from SCAN.

Summary:
ΔE to the lowest computed polymorph (meV per atom): 0.0
Crystal system: cubic
Space group: Pm-3m
Raw formation energy (eV/atom): -0.028

a = 4.1565 Å, b = 4.1565 Å, c = 4.1565 Å
α = 90.00°, β = 90.00°, γ = 90.00°
Sites, in units of the cell vectors:
F 0.0000 0.0000 0.0000
Cu 0.0000 0.0000 0.5000
Cu 0.5000 0.0000 0.0000
Cu 0.0000 0.5000 0.0000
Sb 0.5000 0.5000 0.5000



Here is a crystal of Y2NiAg relaxed with PBEsol from Alexandria. Energies are from SCAN.

Summary:
Formation energy (eV per atom): -0.388
Crystal system: tetragonal
Space group: P4/mmm

a = 3.4082 Å, b = 3.4082 Å, c = 7.1094 Å
α = 90.00°, β = 90.00°, γ = 90.00°
Sites, in units of the cell vectors:
Y 0.0000 0.0000 0.7723
Y 0.0000 0.0000 0.2277
Ni 0.5000 0.5000 0.0000
Ag 0.5000 0.5000 0.5000



Here is a crystal of SnPb3F relaxed with PBEsol from Alexandria. Energies are from SCAN.

Summary:
Crystal system: cubic
Space group: Pm-3m
Raw formation energy (eV/atom): 0.247

a = 5.7613 Å, b = 5.7613 Å, c = 5.7613 Å
α = 90.00°, β = 90.00°, γ = 90.00°
Sites, in units of the cell vectors:
Pb 0.5000 0.0000 0.0000
Pb 0.0000 0.5000 0.0000
Pb 0.0000 0.0000 0.5000
Sn 0.0000 0.0000 0.0000
F 0.5000 0.5000 0.5000



no.,total moment (Bohr magnetons per cell)
1,6.18
2,0.00
3,0.00
4,0.00